Compound: Al3Zn6Ga
Source: Alexandria via LeMat-Bulk
Functional: PBE-GGA
Structure: optimized geometry

Geometry as CIF:
```
data_Al3Zn6Ga
_chemical_formula_sum 'Al6 Zn12 Ga2'
_cell_length_a 7.660
_cell_length_b 7.660
_cell_length_c 7.660
_cell_angle_alpha 110.02
_cell_angle_beta 110.02
_cell_angle_gamma 110.02
_symmetry_space_group_name_H-M 'P 1'
_symmetry_Int_Tables_number 1
loop_
_symmetry_equiv_pos_as_xyz
'x,y,z'
loop_
_atom_site_label
_atom_site_type_symbol
_atom_site_fract_x
_atom_site_fract_y
_atom_site_fract_z
Zn1 Zn 0.867 0.129 0.758
Zn2 Zn 0.371 0.633 0.742
Al1 Al 0.510 0.990 0.250
Zn3 Zn 0.242 0.133 0.871
Zn4 Zn 0.871 0.242 0.133
Zn5 Zn 0.633 0.742 0.371
Ga1 Ga 0.750 0.750 0.750
Zn6 Zn 0.258 0.629 0.367
Zn7 Zn 0.742 0.371 0.633
Zn8 Zn 0.367 0.258 0.629
Zn9 Zn 0.129 0.758 0.867
Zn10 Zn 0.133 0.871 0.242
Al2 Al 0.750 0.490 0.010
Al3 Al 0.490 0.010 0.750
Zn11 Zn 0.629 0.367 0.258
Al4 Al 0.010 0.750 0.490
Al5 Al 0.250 0.510 0.990
Zn12 Zn 0.758 0.867 0.129
Ga2 Ga 0.250 0.250 0.250
Al6 Al 0.990 0.250 0.510
```

Results
* calculated formation energy: 0.099 eV/atom
* VASP energy: -2.0910 eV/atom
* symmetry: No. 167